[1]
Compound: La5Sn10Ir4
Source: the Alexandria database
Functional: GGA-PBE
Structure: relaxed

As for the total DFT energy (no corrections): -5.97 eV/atom. As for the crystal system: tetragonal.

The structure belongs to space group P4/mbm (No. 127); the cell edges are 14.2432, 14.2432 and 4.7324 Å and the angles 90.00°, 90.00° and 90.00°. The asymmetric unit holds La at (0.0000, 0.0000, 0.0000), La at (0.1116, 0.3884, 0.5000), La at (0.1772, 0.6772, 0.5000), Sn at (0.0019, 0.8366, 0.5000), Sn at (0.0702, 0.5702, 0.0000), Sn at (0.1547, 0.1983, 0.0000) and Ir at (0.0275, 0.7538, 0.0000).

[2]
Compound: La3Sn4Ir2
Source: the Alexandria database
Functional: GGA-PBE
Structure: relaxed

As for the total DFT energy (no corrections): -6.10 eV/atom. As for the crystal system: monoclinic.

The structure belongs to space group C2/m (No. 12); the cell edges are 11.8008, 4.6713 and 8.9528 Å and the angles 90.00°, 106.48° and 90.00°. The asymmetric unit holds La at (0.0000, 0.0000, 0.0000), La at (0.1286, 0.5000, 0.6882), Sn at (0.0914, 0.0000, 0.3914), Sn at (0.2058, 0.5000, 0.0800) and Ir at (0.1993, 0.5000, 0.3802).

[3]
Compound: LaSn2Ir2
Source: the Alexandria database
Functional: GGA-PBE
Structure: relaxed

As for the total DFT energy (no corrections): -6.69 eV/atom. As for the crystal system: tetragonal.

The structure belongs to space group I4/mmm (No. 139); the cell edges are 4.5115, 4.5115 and 11.0789 Å and the angles 90.00°, 90.00° and 90.00°. The asymmetric unit holds La at (0.0000, 0.0000, 0.0000), Sn at (0.0000, 0.5000, 0.2500) and Ir at (0.0000, 0.0000, 0.3862).

[4]
Compound: LaSn12Ir4
Source: the Alexandria database
Functional: GGA-PBE
Structure: relaxed

As for the total DFT energy (no corrections): -5.44 eV/atom. As for the crystal system: cubic.

The structure belongs to space group Im-3 (No. 204); the cell edges are 9.4843, 9.4843 and 9.4843 Å and the angles 90.00°, 90.00° and 90.00°. The asymmetric unit holds La at (0.0000, 0.0000, 0.0000), Sn at (0.0000, 0.3395, 0.1606) and Ir at (0.2500, 0.2500, 0.2500).

[5]
Compound: La2Sn5Ir3
Source: the Alexandria database
Functional: GGA-PBE
Structure: relaxed

As for the total DFT energy (no corrections): -6.30 eV/atom. As for the crystal system: orthorhombic.

The structure belongs to space group Cmc2_1 (No. 36); the cell edges are 4.5561, 26.8747 and 7.3837 Å and the angles 90.00°, 90.00° and 90.00°. The asymmetric unit holds La at (0.0000, 0.0241, 0.0000), La at (0.0000, 0.3274, 0.9644), Sn at (0.0000, 0.0970, 0.6254), Sn at (0.0000, 0.2061, 0.1684), Sn at (0.0000, 0.2098, 0.7492), Sn at (0.0000, 0.3779, 0.4985), Sn at (0.0000, 0.4510, 0.8354), Ir at (0.0000, 0.1064, 0.2511), Ir at (0.0000, 0.2764, 0.4580) and Ir at (0.0000, 0.4493, 0.2158).

[6]
Compound: La6SnIr3
Source: the Alexandria database
Functional: GGA-PBE
Structure: relaxed

As for the total DFT energy (no corrections): -6.71 eV/atom. As for the crystal system: monoclinic.

The structure belongs to space group P2_1/m (No. 11); the cell edges are 11.9775, 4.3458 and 12.4040 Å and the angles 90.00°, 107.94° and 90.00°. The asymmetric unit holds La at (0.0314, 0.2500, 0.3935), La at (0.1063, 0.2500, 0.9458), La at (0.2128, 0.7500, 0.2616), La at (0.2903, 0.7500, 0.7632), La at (0.3625, 0.2500, 0.5370), La at (0.4204, 0.7500, 0.0864), Sn at (0.4472, 0.2500, 0.3024), Ir at (0.0462, 0.2500, 0.1645), Ir at (0.1830, 0.7500, 0.4974) and Ir at (0.3420, 0.2500, 0.9162).

[7]
Compound: La5Sn2Ir
Source: the Alexandria database
Functional: GGA-PBE
Structure: relaxed

As for the total DFT energy (no corrections): -5.93 eV/atom. As for the crystal system: orthorhombic.

The structure belongs to space group Pbam (No. 55); the cell edges are 8.3365, 12.7728 and 4.8125 Å and the angles 90.00°, 90.00° and 90.00°. The asymmetric unit holds La at (0.0000, 0.0000, 0.0000), La at (0.1326, 0.2991, 0.0000), La at (0.1895, 0.5655, 0.5000), Sn at (0.0808, 0.8296, 0.5000) and Ir at (0.0000, 0.5000, 0.0000).

[8]
Compound: LaSnIr3
Source: the Alexandria database
Functional: GGA-PBE
Structure: relaxed

As for the total DFT energy (no corrections): -6.51 eV/atom. As for the crystal system: cubic.

The structure belongs to space group Pm-3m (No. 221); the cell edges are 4.9011, 4.9011 and 4.9011 Å and the angles 90.00°, 90.00° and 90.00°. The asymmetric unit holds La at (0.0000, 0.0000, 0.0000), Sn at (0.5000, 0.5000, 0.5000) and Ir at (0.0000, 0.5000, 0.5000).

[9]
Compound: LaSnIr
Source: the Alexandria database
Functional: GGA-PBE
Structure: relaxed

As for the total DFT energy (no corrections): -6.72 eV/atom. As for the crystal system: monoclinic.

The structure belongs to space group P2_1/m (No. 11); the cell edges are 7.5335, 4.4342 and 12.6353 Å and the angles 90.00°, 90.94° and 90.00°. The asymmetric unit holds La at (0.0314, 0.2500, 0.1237), La at (0.1477, 0.2500, 0.4190), La at (0.4670, 0.7500, 0.7916), Sn at (0.1352, 0.2500, 0.7071), Sn at (0.3472, 0.7500, 0.0447), Sn at (0.4886, 0.7500, 0.4119), Ir at (0.2304, 0.7500, 0.2552), Ir at (0.2695, 0.2500, 0.9235) and Ir at (0.2722, 0.7500, 0.5938).

[10]
Compound: LaSnIr4
Source: the Alexandria database
Functional: GGA-PBE
Structure: relaxed

As for the total DFT energy (no corrections): -7.69 eV/atom. As for the crystal system: cubic.

The structure belongs to space group F-43m (No. 216); the cell edges are 7.6516, 7.6516 and 7.6516 Å and the angles 90.00°, 90.00° and 90.00°. The asymmetric unit holds La at (0.0000, 0.0000, 0.0000), Sn at (0.2500, 0.2500, 0.7500) and Ir at (0.1243, 0.1243, 0.3757).

[11]
Compound: LaSn3Ir2
Source: the Alexandria database
Functional: GGA-PBE
Structure: relaxed

As for the total DFT energy (no corrections): -6.04 eV/atom. As for the crystal system: trigonal.

The structure belongs to space group R-3m (No. 166, hexagonal axes); the cell edges are 6.5405, 6.5405 and 22.0179 Å and the angles 90.00°, 90.00° and 120.00°. The asymmetric unit holds La at (0.0000, 0.0000, 0.2171), Sn at (0.0025, 0.5012, 0.2432), Ir at (0.0000, 0.0000, 0.0000) and Ir at (0.0000, 0.5000, 0.0000).

[12]
Compound: La3Sn4Ir2
Source: the Alexandria database
Functional: GGA-PBE
Structure: relaxed

As for the total DFT energy (no corrections): -6.09 eV/atom. As for the crystal system: monoclinic.

The structure belongs to space group C2/m (No. 12); the cell edges are 11.6505, 4.7099 and 9.1551 Å and the angles 90.00°, 110.54° and 90.00°. The asymmetric unit holds La at (0.0000, 0.0000, 0.0000), La at (0.1806, 0.5000, 0.6236), Sn at (0.0221, 0.0000, 0.3523), Sn at (0.2381, 0.5000, 0.0948) and Ir at (0.1025, 0.5000, 0.2801).

| no. | M_tot (μB per cell) | ΔH_f (0 K) (kJ per mole of atoms) |
| --- | --- | --- |
| 1 | 0.000 | -68 |
| 2 | 0.000 | -69 |
| 3 | 0.000 | -53 |
| 4 | 0.000 | -24 |
| 5 | 0.000 | -63 |
| 6 | 0.000 | -67 |
| 7 | 0.000 | -71 |
| 8 | 0.000 | 58 |
| 9 | 0.000 | -76 |
| 10 | 0.001 | -29 |
| 11 | 0.000 | -26 |
| 12 | 0.000 | -67 |